## a
La3NdDy6 PBE relaxed; symmetry = R3, No. 146
1.0
8.8312 0.0000 4.6865
3.1721 8.2419 4.6865
2.2664 1.5561 6.3933
La Dy Nd
3 6 1
direct
0.1020 0.1020 0.6939
0.5994 0.5994 0.2019
0.3507 0.3507 0.9478
0.9246 0.6021 0.1986
0.2747 0.9246 0.1986
0.6021 0.2747 0.1986
0.0975 0.4241 0.7038
0.7746 0.0975 0.7038
0.4241 0.7746 0.7038
0.8503 0.8503 0.4490

***

## b
La3NdDy6 PBE relaxed; symmetry = Cmc2_1, No. 36
1.0
-4.7932 1.3443 -3.9810
-5.4777 -8.9621 3.5691
-1.4577 9.7674 5.0533
Dy La Nd
12 6 2
direct
0.0457 0.3779 0.2861
0.5457 0.2861 0.3779
0.3750 0.9622 0.0378
0.1454 0.7237 0.2763
0.0457 0.7139 0.6221
0.5457 0.6221 0.7139
0.3733 0.5314 0.9518
0.8733 0.9518 0.5314
0.3733 0.0482 0.4686
0.8750 0.0378 0.9622
0.8733 0.4686 0.0482
0.6454 0.2763 0.7237
0.0707 0.3887 0.6113
0.4652 0.2887 0.0614
0.9652 0.7113 0.9386
0.9652 0.0614 0.2887
0.4652 0.9386 0.7113
0.5707 0.6113 0.3887
0.1258 0.1942 0.8058
0.6258 0.8058 0.1942

***

Unit: meV per atom. Relative energies: a 137; b 0.

***

## a
La3NdDy2 PBE relaxed; symmetry = Immm, No. 71
1.0
3.5081 0.0000 0.0000
0.0000 6.0439 0.0000
-1.7540 -3.0220 9.9394
Nd Dy La
1 2 3
direct
0.0000 0.0000 0.0000
0.3628 0.3628 0.7257
0.6372 0.6372 0.2743
0.8106 0.8106 0.6213
0.1894 0.1894 0.3787
0.0000 0.5000 0.0000

***

## b
La3NdDy2 PBE relaxed; symmetry = C2/c, No. 15
1.0
5.9389 1.2638 -1.8082
0.4433 6.0557 -1.8082
-0.6583 -0.7550 12.1557
La Nd Dy
6 2 4
direct
0.2082 0.4586 0.4170
0.7918 0.5414 0.5830
0.4586 0.2082 0.9170
0.6250 0.3750 0.2500
0.5414 0.7918 0.0830
0.3750 0.6250 0.7500
0.8752 0.1248 0.7500
0.1248 0.8752 0.2500
0.7093 0.9592 0.4184
0.0408 0.2907 0.0816
0.9592 0.7093 0.9184
0.2907 0.0408 0.5816

***

Unit: meV per atom. Relative energies: a 274; b 0.

***

## a
LaNd3Dy7 PBE relaxed; symmetry = P2/m, No. 10
1.0
4.7366 -0.1044 -2.9551
-1.0468 9.8114 -2.0201
-1.0546 -0.7266 8.8798
La Dy Nd
1 7 3
direct
0.5000 0.5000 0.5000
0.6771 0.3605 0.1770
0.5000 0.0000 0.5000
0.3229 0.6395 0.8230
0.0809 0.1696 0.0808
0.9191 0.8304 0.9192
0.8565 0.7120 0.3564
0.1435 0.2880 0.6436
0.0000 0.5000 0.0000
0.7184 0.0011 0.2178
0.2816 0.9989 0.7822

***

## b
LaNd3Dy7 PBE relaxed; symmetry = Immm, No. 71
1.0
5.8819 -0.2113 -0.2706
-2.6100 8.0255 1.0737
-2.6100 -0.9040 8.0464
Dy Nd La
7 3 1
direct
0.7968 0.7962 0.7962
0.2032 0.2038 0.2038
0.2888 0.9807 0.5964
0.0000 0.5000 0.5000
0.7112 0.4036 0.0193
0.7112 0.0193 0.4036
0.2888 0.5964 0.9807
0.0000 0.2111 0.7889
0.5000 0.0000 0.0000
0.0000 0.7889 0.2111
0.5000 0.5000 0.5000

***

Unit: meV per atom. Relative energies: a 0; b 104.